Record 1
# Li5Cd6Pt, optimized geometry, DFT PBE
# Spin magnetization, μB/cell: 0.0
# ΔH_f (0 K), eV per atom: -0.31
# Electronic total energy, Ha/atom: -0.07597
# ρ, g/cm3: 7.0
data_Li5Cd6Pt
_chemical_formula_sum 'Li10 Cd12 Pt2'
_space_group_name_H-M_alt 'C m m m'
_space_group_IT_number 65
_space_group_name_Hall '-C 2 2'
_cell_length_a 4.5704
_cell_length_b 13.6925
_cell_length_c 6.8206
_cell_angle_alpha 90.00
_cell_angle_beta 90.00
_cell_angle_gamma 90.00
loop_
_atom_site_label
_atom_site_type_symbol
_atom_site_fract_x
_atom_site_fract_y
_atom_site_fract_z
_atom_site_occupancy
Li1 Li 0.0000 0.0000 0.0000 1
Li2 Li 0.0000 0.3273 0.0000 1
Li3 Li 0.0000 0.3427 0.5000 1
Cd1 Cd 0.0000 0.1679 0.2543 1
Cd2 Cd 0.0000 0.5000 0.2434 1
Pt1 Pt 0.0000 0.0000 0.5000 1

Record 2
# Li2CdPt, optimized geometry, DFT PBE
# Spin magnetization, μB/cell: 0.0
# ΔH_f (0 K), eV per atom: -0.41
# Electronic total energy, Ha/atom: -0.11420
# ρ, g/cm3: 8.3
data_Li2CdPt
_chemical_formula_sum 'Li4 Cd2 Pt2'
_space_group_name_H-M_alt 'C 1 2/m 1'
_space_group_IT_number 12
_space_group_name_Hall '-C 2y'
_cell_length_a 9.2035
_cell_length_b 2.9559
_cell_length_c 4.8652
_cell_angle_alpha 90.00
_cell_angle_beta 102.78
_cell_angle_gamma 90.00
loop_
_atom_site_label
_atom_site_type_symbol
_atom_site_fract_x
_atom_site_fract_y
_atom_site_fract_z
_atom_site_occupancy
Li1 Li 0.2381 0.0000 0.2183 1
Cd1 Cd 0.0000 0.0000 0.5000 1
Pt1 Pt 0.0000 0.5000 0.0000 1

Record 3
# Li2CdPt, optimized geometry, DFT PBE
# Spin magnetization, μB/cell: 0.0
# ΔH_f (0 K), eV per atom: -0.38
# Electronic total energy, Ha/atom: -0.11310
# ρ, g/cm3: 8.2
data_Li2CdPt
_chemical_formula_sum 'Li6 Cd3 Pt3'
_space_group_name_H-M_alt 'R -3 m'
_space_group_IT_number 166
_space_group_name_Hall '-R 3 2"'
_cell_length_a 2.8577
_cell_length_b 2.8577
_cell_length_c 27.5456
_cell_angle_alpha 90.00
_cell_angle_beta 90.00
_cell_angle_gamma 120.00
loop_
_atom_site_label
_atom_site_type_symbol
_atom_site_fract_x
_atom_site_fract_y
_atom_site_fract_z
_atom_site_occupancy
Li1 Li 0.0000 0.0000 0.2407 1
Cd1 Cd 0.0000 0.0000 0.0000 1
Pt1 Pt 0.0000 0.0000 0.5000 1

Among the records above, which one has the highest ρ?
number 2

What is the spin magnetization in the first record?
0.0 μB/cell

What is the spin magnetization in the third record?
0.0 μB/cell